(1)
CoAgTe2 | PBE-GGA | optimized geometry Values from VASP.

Values from the calculation:
- SG = P4mm, No. 99
- raw formation energy (meV per atom) = 162

```
&SYSTEM
  ibrav = 0, nat = 4, ntyp = 3
/
ATOMIC_SPECIES
Co 58.93 Co.upf
Ag 107.87 Ag.upf
Te 127.60 Te.upf
CELL_PARAMETERS angstrom
3.212 0.000 0.000
0.000 3.212 0.000
0.000 0.000 8.676
ATOMIC_POSITIONS angstrom
Co 0.000 0.000 0.000
Ag 1.606 1.606 6.852
Te 0.000 0.000 4.674
Te 1.606 1.606 1.171
```

(2)
CoAg3Te | PBE-GGA | optimized geometry Values from VASP.

Values from the calculation:
- SG = Pm-3m, No. 221
- raw formation energy (meV per atom) = 783
- E above lowest polymorph (meV/atom) = 0

```
&SYSTEM
  ibrav = 0, nat = 5, ntyp = 3
/
ATOMIC_SPECIES
Co 58.93 Co.upf
Ag 107.87 Ag.upf
Te 127.60 Te.upf
CELL_PARAMETERS angstrom
4.845 0.000 0.000
0.000 4.845 0.000
0.000 0.000 4.845
ATOMIC_POSITIONS angstrom
Co 0.000 0.000 0.000
Ag 0.000 0.000 2.422
Ag 0.000 2.422 0.000
Ag 2.422 0.000 0.000
Te 2.422 2.422 2.422
```

Number 1: total DFT energy (no corrections) -15.591 eV per cell, total magnetic moment 0.0613 μB per atom. Number 2: total DFT energy (no corrections) -14.886 eV per cell, total magnetic moment 0.3867 μB per atom.